A relaxed structure of Mn2Ag2AuO6, computed with GGA+U.

Cell lengths 5.3324, 9.5735, 6.3225 Å; angles 90.00, 114.82, 90.00 degrees
With the nearest neighbours (Å) after each atom.
Space group C2/m (No. 12)
One atom of each set of equivalent atoms:
Mn1 0.0000 0.1694 0.0000 x4  6 O 1.96-2.17
Ag1 0.0000 0.1691 0.5000 x4  4 O 2.31-2.43
Au1 0.0000 0.5000 0.0000 x2  6 O 2.05-2.29
O1 0.0806 0.0000 0.8085 x4  1 Au 2.05, 2 Mn 2.17
O2 0.1015 0.3208 0.8083 x8  2 Mn 1.96-2.10

Computed properties:
Crystal system: monoclinic
Density of states at the Fermi level in states/eV/atom: 0.366
Raw total energy in eV/cell: -121.0